(1)
The following is a GGA-PBE calculation of Rb2YAu after structural relaxation, from Alexandria.

Unit cell a=9.193 b=9.193 c=9.193 alpha=95.41 beta=95.41 gamma=144.23
Atoms (fractional coordinates):
Rb 0.375 0.006 0.131
Rb 0.756 0.625 0.631
Rb 0.875 0.244 0.869
Rb 0.994 0.125 0.369
Y 0.250 0.750 0.500
Y 0.500 0.500 0.000
Au 0.000 0.000 0.000
Au 0.750 0.250 0.500

Summary:
Its total energy is -2.69 eV/atom. As for the density of states at the Fermi level: 4.08 states/eV/f.u. The value obtained for the formation energy is 225 meV/atom. As for the polymorph energy (0 for the lowest one): 0 meV/atom.

---

(2)
The following is a GGA-PBE calculation of CaLaPd2 after structural relaxation, from Alexandria.

Unit cell a=6.416 b=6.416 c=6.416 alpha=105.38 beta=105.38 gamma=118.00
Atoms (fractional coordinates):
Ca 0.000 0.000 0.000
Ca 0.750 0.250 0.500
La 0.250 0.750 0.500
La 0.500 0.500 0.000
Pd 0.129 0.625 0.004
Pd 0.375 0.379 0.504
Pd 0.621 0.125 0.996
Pd 0.875 0.871 0.496

Summary:
Its total energy is -4.79 eV/atom. As for the density of states at the Fermi level: 2.45 states/eV/f.u. The value obtained for the formation energy is -459 meV/atom.

---

(3)
The following is a GGA-PBE calculation of Ce2Ga5IrRu2 after structural relaxation, from Alexandria.

Unit cell a=10.735 b=10.735 c=3.090 alpha=90.00 beta=90.00 gamma=90.00
Atoms (fractional coordinates):
Ce 0.184 0.316 0.000
Ce 0.316 0.816 0.000
Ce 0.684 0.184 0.000
Ce 0.816 0.684 0.000
Ga 0.000 0.500 0.500
Ga 0.049 0.809 0.500
Ga 0.191 0.049 0.500
Ga 0.309 0.549 0.500
Ga 0.451 0.309 0.500
Ga 0.500 0.000 0.500
Ga 0.549 0.691 0.500
Ga 0.691 0.451 0.500
Ga 0.809 0.951 0.500
Ga 0.951 0.191 0.500
Ir 0.000 0.000 0.000
Ir 0.500 0.500 0.000
Ru 0.135 0.635 0.000
Ru 0.365 0.135 0.000
Ru 0.635 0.865 0.000
Ru 0.865 0.365 0.000

Summary:
Its total energy is -5.83 eV/atom. As for the density of states at the Fermi level: 11.49 states/eV/f.u. The value obtained for the formation energy is -393 meV/atom.

---

(4)
The following is a GGA-PBE calculation of Li2Os after structural relaxation, from Alexandria.

Unit cell a=5.221 b=5.221 c=5.221 alpha=101.89 beta=101.89 gamma=126.02
Atoms (fractional coordinates):
Li 0.171 0.671 0.841
Li 0.329 0.171 0.500
Li 0.671 0.829 0.500
Li 0.829 0.329 0.159
Os 0.250 0.250 0.000
Os 0.750 0.750 0.000

Summary:
Its total energy is -4.61 eV/atom. As for the density of states at the Fermi level: 2.11 states/eV/f.u. The value obtained for the formation energy is 412 meV/atom.

---

(5)
The following is a GGA-PBE calculation of Ni2TeOs after structural relaxation, from Alexandria.

Unit cell a=2.859 b=2.859 c=7.535 alpha=90.00 beta=90.00 gamma=90.00
Atoms (fractional coordinates):
Ni 0.000 0.000 0.214
Ni 0.000 0.000 0.786
Te 0.500 0.500 0.500
Os 0.500 0.500 0.000

Summary:
Its total energy is -5.98 eV/atom. As for the density of states at the Fermi level: 4.06 states/eV/f.u. As for the uncorrected formation energy: 499 meV per atom.

---

(6)
The following is a GGA-PBE calculation of CaTbPr6Er2 after structural relaxation, from Alexandria.

Unit cell a=9.056 b=9.056 c=9.935 alpha=94.45 beta=94.45 gamma=118.29
Atoms (fractional coordinates):
Ca 0.098 0.902 0.750
Ca 0.902 0.098 0.250
Tb 0.472 0.528 0.250
Tb 0.528 0.472 0.750
Pr 0.001 0.792 0.378
Pr 0.066 0.526 0.177
Pr 0.208 0.999 0.122
Pr 0.264 0.611 0.552
Pr 0.389 0.736 0.948
Pr 0.474 0.934 0.323
Pr 0.526 0.066 0.677
Pr 0.611 0.264 0.052
Pr 0.736 0.389 0.448
Pr 0.792 0.001 0.878
Pr 0.934 0.474 0.823
Pr 0.999 0.208 0.622
Er 0.205 0.304 0.955
Er 0.304 0.205 0.455
Er 0.696 0.795 0.545
Er 0.795 0.696 0.045

Summary:
Its total energy is -4.31 eV/atom. As for the density of states at the Fermi level: 15.41 states/eV/f.u. The value obtained for the formation energy is 131 meV/atom.

---

(7)
The following is a GGA-PBE calculation of CsK2Ti after structural relaxation, from Alexandria.

Unit cell a=6.808 b=6.808 c=6.808 alpha=60.00 beta=60.00 gamma=60.00
Atoms (fractional coordinates):
Cs 0.000 0.000 0.000
K 0.250 0.250 0.250
K 0.750 0.750 0.750
Ti 0.500 0.500 0.500

Summary:
Its total energy is -1.86 eV/atom. As for the density of states at the Fermi level: 6.30 states/eV/f.u. The value obtained for the formation energy is 875 meV/atom.

---

(8)
The following is a GGA-PBE calculation of PrAg2S2 after structural relaxation, from Alexandria.

Unit cell a=8.159 b=8.159 c=8.159 alpha=29.20 beta=29.20 gamma=29.20
Atoms (fractional coordinates):
Pr 0.000 0.000 0.000
Ag 0.204 0.204 0.204
Ag 0.796 0.796 0.796
S 0.401 0.401 0.401
S 0.599 0.599 0.599

Summary:
Its total energy is -4.56 eV/atom. As for the density of states at the Fermi level: 1.18 states/eV/f.u. As for the uncorrected formation energy: -808 meV per atom.

---

(9)
The following is a GGA-PBE calculation of NiHgAs2Br after structural relaxation, from Alexandria.

Unit cell a=5.172 b=5.172 c=5.764 alpha=90.00 beta=90.00 gamma=90.00
Atoms (fractional coordinates):
Ni 0.000 0.000 0.000
Hg 0.500 0.500 0.500
As 0.000 0.500 0.500
As 0.500 0.000 0.500
Br 0.500 0.500 0.000

Summary:
Its total energy is -2.10 eV/atom. As for the density of states at the Fermi level: 9.06 states/eV/f.u. As for the uncorrected formation energy: 1309 meV per atom. As for the polymorph energy (0 for the lowest one): 958 meV/atom.

---

(10)
The following is a GGA-PBE calculation of SrCe2Fe after structural relaxation, from Alexandria.

Unit cell a=10.543 b=10.543 c=10.543 alpha=20.84 beta=20.84 gamma=20.84
Atoms (fractional coordinates):
Sr 0.000 0.000 0.000
Ce 0.120 0.120 0.120
Ce 0.880 0.880 0.880
Fe 0.500 0.500 0.500

Summary:
Its total energy is -5.29 eV/atom. As for the density of states at the Fermi level: 8.62 states/eV/f.u. The value obtained for the formation energy is 209 meV/atom.

---

(11)
The following is a GGA-PBE calculation of Pr3Zn2Ga3 after structural relaxation, from Alexandria.

Unit cell a=5.864 b=5.864 c=15.072 alpha=90.00 beta=90.00 gamma=134.20
Atoms (fractional coordinates):
Pr 0.099 0.901 0.609
Pr 0.099 0.901 0.891
Pr 0.377 0.623 0.750
Pr 0.623 0.377 0.250
Pr 0.901 0.099 0.109
Pr 0.901 0.099 0.391
Zn 0.201 0.799 0.097
Zn 0.201 0.799 0.403
Zn 0.799 0.201 0.597
Zn 0.799 0.201 0.903
Ga 0.327 0.673 0.250
Ga 0.389 0.611 0.538
Ga 0.389 0.611 0.962
Ga 0.611 0.389 0.038
Ga 0.611 0.389 0.462
Ga 0.673 0.327 0.750

Summary:
Its total energy is -3.78 eV/atom. As for the density of states at the Fermi level: 4.22 states/eV/f.u. The value obtained for the formation energy is -537 meV/atom.

---

(12)
The following is a GGA-PBE calculation of MnCdTc2 after structural relaxation, from Alexandria.

Unit cell a=2.737 b=2.737 c=8.899 alpha=90.00 beta=90.00 gamma=109.29
Atoms (fractional coordinates):
Mn 0.000 0.000 0.000
Cd 0.500 0.500 0.733
Tc 0.000 0.000 0.455
Tc 0.500 0.500 0.221

Summary:
Its total energy is -7.38 eV/atom. As for the density of states at the Fermi level: 3.81 states/eV/f.u. The value obtained for the formation energy is 320 meV/atom.

---

(13)
The following is a GGA-PBE calculation of Hf2ZrAg after structural relaxation, from Alexandria.

Unit cell a=4.895 b=4.895 c=4.895 alpha=60.00 beta=60.00 gamma=60.00
Atoms (fractional coordinates):
Hf 0.250 0.250 0.250
Hf 0.750 0.750 0.750
Zr 0.000 0.000 0.000
Ag 0.500 0.500 0.500

Summary:
Its total energy is -7.66 eV/atom. As for the density of states at the Fermi level: 7.32 states/eV/f.u. The value obtained for the formation energy is 166 meV/atom. As for the polymorph energy (0 for the lowest one): 203 meV/atom.